The following is a DFT calculation (PBE-GGA) of a relaxed Tb4PrAl crystal.

a = 3.594 Å, b = 3.594 Å, c = 14.011 Å
α = 90.00°, β = 90.00°, γ = 90.00°
Space group P4/mmm (No. 123)
Inequivalent atoms, fractional coordinates:
Tb1 0.000 0.000 0.133 (multiplicity 2)
Tb2 0.500 0.500 0.315 (multiplicity 2)
Pr1 0.000 0.000 0.500 (multiplicity 1)
Al1 0.500 0.500 0.000 (multiplicity 1)

**D(E_F)**: 1.206 states/eV/atom
**Calculated formation energy**: -0.112 eV/atom
**Total magnetic moment**: 0.0 μB per cell